[1]
Here is BaLiHg2Rh after structural relaxation from Alexandria via LeMat-Bulk. Energies are from PBE.

Output
DOS(E_F) ... 2.60 states/eV/cell
Energy of formation ... -253 meV per atom
Size of the total moment ... 0.000 μB per atom

a b c (Å): 5.3407 5.3407 4.7750
angles (deg): 90.00 90.00 90.00
Space group P4/mmm (No. 123)
Asymmetric unit:
Ba: 0.0000 0.0000 0.0000 [1 per cell]
Li: 0.5000 0.5000 0.0000 [1 per cell]
Hg: 0.0000 0.5000 0.5000 [2 per cell]
Rh: 0.5000 0.5000 0.5000 [1 per cell]

[2]
Here is Ba2LiHgRh after structural relaxation from Alexandria via LeMat-Bulk. Energies are from PBE.

Output
DOS(E_F) ... 3.86 states/eV/cell
Offset from the most stable computed form ... 50.4 meV per atom
Energy of formation ... -127 meV per atom
Size of the total moment ... 0.000 μB per atom

a b c (Å): 5.9788 5.9788 5.3658
angles (deg): 90.00 90.00 90.00
Space group P4/mmm (No. 123)
Asymmetric unit:
Ba: 0.0000 0.5000 0.0000 [2 per cell]
Li: 0.0000 0.0000 0.5000 [1 per cell]
Hg: 0.5000 0.5000 0.5000 [1 per cell]
Rh: 0.5000 0.5000 0.0000 [1 per cell]

[3]
Here is Ba2Li3HgSb4 after structural relaxation from Alexandria via LeMat-Bulk. Energies are from PBE.

Output
DOS(E_F) ... 1.49 states/eV/cell
Raw formation energy ... -0.735 eV/atom
Size of the total moment ... 0.000 μB per atom

a b c (Å): 4.8233 4.8233 11.8279
angles (deg): 90.00 90.00 90.00
Space group P-4m2 (No. 115)
Asymmetric unit:
Ba: 0.0000 0.5000 0.2439 [2 per cell]
Li: 0.0000 0.5000 0.8751 [2 per cell]
Li: 0.5000 0.5000 0.5000 [1 per cell]
Hg: 0.0000 0.0000 0.5000 [1 per cell]
Sb: 0.0000 0.0000 0.0000 [1 per cell]
Sb: 0.0000 0.5000 0.6437 [2 per cell]
Sb: 0.5000 0.5000 0.0000 [1 per cell]

[4]
Here is BaLi2Hg2Sb2 after structural relaxation from Alexandria via LeMat-Bulk. Energies are from PBE.

Output
DOS(E_F) ... 0.90 states/eV/cell
Raw formation energy ... -0.549 eV/atom
Size of the total moment ... 0.000 μB per atom

a b c (Å): 4.8219 4.8219 27.9350
angles (deg): 90.00 90.00 120.00
Space group R-3m (No. 166, hexagonal axes)
Asymmetric unit:
Ba: 0.0000 0.0000 0.0000 [3 per cell]
Li: 0.0000 0.0000 0.1451 [6 per cell]
Hg: 0.0000 0.0000 0.4492 [6 per cell]
Sb: 0.0000 0.0000 0.2550 [6 per cell]

[5]
Here is BaLiHgSb2 after structural relaxation from Alexandria via LeMat-Bulk. Energies are from PBE.

Output
DOS(E_F) ... 5.05 states/eV/cell
Offset from the most stable computed form ... 0.0 meV per atom
Raw formation energy ... -0.601 eV/atom
Size of the total moment ... 0.000 μB per atom

a b c (Å): 4.7426 4.7426 13.2189
angles (deg): 90.00 90.00 90.00
Space group I-4m2 (No. 119)
Asymmetric unit:
Ba: 0.0000 0.0000 0.0000 [2 per cell]
Li: 0.0000 0.5000 0.7500 [2 per cell]
Hg: 0.0000 0.5000 0.2500 [2 per cell]
Sb: 0.0000 0.0000 0.3818 [4 per cell]

[6]
Here is Ba2LiHg6Sb after structural relaxation from Alexandria via LeMat-Bulk. Energies are from PBE.

Output
DOS(E_F) ... 9.42 states/eV/cell
Raw formation energy ... -0.353 eV/atom
Size of the total moment ... 0.000 μB per atom

a b c (Å): 8.0244 9.9746 7.8432
angles (deg): 90.00 90.00 90.00
Space group Pmmn (No. 59, origin choice 2)
Asymmetric unit:
Ba: 0.2500 0.0053 0.2498 [4 per cell]
Li: 0.2500 0.2500 0.6082 [2 per cell]
Hg: 0.0378 0.7500 0.5641 [4 per cell]
Hg: 0.0710 0.2500 0.9103 [4 per cell]
Hg: 0.2500 0.5042 0.7075 [4 per cell]
Sb: 0.2500 0.7500 0.9343 [2 per cell]

[7]
Here is BaLiHgSb2 after structural relaxation from Alexandria via LeMat-Bulk. Energies are from PBE.

Output
DOS(E_F) ... 1.49 states/eV/cell
Offset from the most stable computed form ... 154.1 meV per atom
Raw formation energy ... -0.447 eV/atom
Size of the total moment ... 0.000 μB per atom

a b c (Å): 5.2136 5.2136 5.4105
angles (deg): 90.00 90.00 90.00
Space group P4/mmm (No. 123)
Asymmetric unit:
Ba: 0.0000 0.0000 0.0000 [1 per cell]
Li: 0.5000 0.5000 0.5000 [1 per cell]
Hg: 0.5000 0.5000 0.0000 [1 per cell]
Sb: 0.0000 0.5000 0.5000 [2 per cell]

[8]
Here is Ba2LiHg3Sb4 after structural relaxation from Alexandria via LeMat-Bulk. Energies are from PBE.

Output
DOS(E_F) ... 3.06 states/eV/cell
Raw formation energy ... -0.472 eV/atom
Size of the total moment ... 0.000 μB per atom

a b c (Å): 5.2449 5.2449 11.2641
angles (deg): 90.00 90.00 90.00
Space group P-4m2 (No. 115)
Asymmetric unit:
Ba: 0.0000 0.5000 0.2452 [2 per cell]
Li: 0.0000 0.0000 0.5000 [1 per cell]
Hg: 0.0000 0.5000 0.8726 [2 per cell]
Hg: 0.5000 0.5000 0.5000 [1 per cell]
Sb: 0.0000 0.0000 0.0000 [1 per cell]
Sb: 0.0000 0.5000 0.6235 [2 per cell]
Sb: 0.5000 0.5000 0.0000 [1 per cell]

[9]
Here is Ba2LiSmHg6 after structural relaxation from Alexandria via LeMat-Bulk. Energies are from PBE.

Output
DOS(E_F) ... 5.92 states/eV/cell
Energy of formation ... -371 meV per atom
Size of the total moment ... 0.000 μB per atom

a b c (Å): 5.8896 6.1027 9.1941
angles (deg): 106.52 103.58 100.00
Space group P-1 (No. 2)
Asymmetric unit:
Ba: 0.0642 0.3178 0.1809 [2 per cell]
Li: 0.5000 0.5000 0.0000 [1 per cell]
Sm: 0.5000 0.0000 0.5000 [1 per cell]
Hg: 0.0714 0.1479 0.6872 [2 per cell]
Hg: 0.3268 0.5427 0.6008 [2 per cell]
Hg: 0.4618 0.9455 0.1432 [2 per cell]

[10]
Here is BaLiSmHg after structural relaxation from Alexandria via LeMat-Bulk. Energies are from PBE.

Output
DOS(E_F) ... 16.06 states/eV/cell
Energy of formation ... -108 meV per atom
Size of the total moment ... 0.000 μB per atom

a b c (Å): 7.9976 7.9976 7.9976
angles (deg): 90.00 90.00 90.00
Space group F-43m (No. 216)
Asymmetric unit:
Ba: 0.0000 0.0000 0.0000 [4 per cell]
Li: 0.2500 0.2500 0.2500 [4 per cell]
Sm: 0.0000 0.0000 0.5000 [4 per cell]
Hg: 0.2500 0.2500 0.7500 [4 per cell]

[11]
Here is BaLiSm2Hg4 after structural relaxation from Alexandria via LeMat-Bulk. Energies are from PBE.

Output
DOS(E_F) ... 16.72 states/eV/cell
Energy of formation ... -408 meV per atom
Size of the total moment ... 0.000 μB per atom

a b c (Å): 5.2485 5.2485 29.2395
angles (deg): 90.00 90.00 120.00
Space group R-3m (No. 166, hexagonal axes)
Asymmetric unit:
Ba: 0.0000 0.0000 0.0000 [3 per cell]
Li: 0.0000 0.0000 0.5000 [3 per cell]
Sm: 0.0000 0.0000 0.2337 [6 per cell]
Hg: 0.0000 0.0000 0.1269 [6 per cell]
Hg: 0.0000 0.0000 0.4010 [6 per cell]

[12]
Here is BaLiSn2Hg2 after structural relaxation from Alexandria via LeMat-Bulk. Energies are from PBE.

Output
DOS(E_F) ... 1.75 states/eV/cell
Energy of formation ... -390 meV per atom
Size of the total moment ... 0.000 μB per atom

a b c (Å): 4.9081 4.9081 8.0934
angles (deg): 90.00 90.00 120.00
Space group P-3m1 (No. 164)
Asymmetric unit:
Ba: 0.0000 0.0000 0.0000 [1 per cell]
Li: 0.0000 0.0000 0.5000 [1 per cell]
Sn: 0.3333 0.6667 0.7284 [2 per cell]
Hg: 0.3333 0.6667 0.3292 [2 per cell]

[13]
Here is Ba2LiSn3Hg4 after structural relaxation from Alexandria via LeMat-Bulk. Energies are from PBE.

Output
DOS(E_F) ... 3.94 states/eV/cell
Energy of formation ... -422 meV per atom
Size of the total moment ... 0.000 μB per atom

a b c (Å): 4.9449 4.9449 12.0878
angles (deg): 90.00 90.00 90.00
Space group P-4m2 (No. 115)
Asymmetric unit:
Ba: 0.0000 0.5000 0.2389 [2 per cell]
Li: 0.0000 0.0000 0.5000 [1 per cell]
Sn: 0.0000 0.5000 0.8624 [2 per cell]
Sn: 0.5000 0.5000 0.5000 [1 per cell]
Hg: 0.0000 0.0000 0.0000 [1 per cell]
Hg: 0.0000 0.5000 0.6255 [2 per cell]
Hg: 0.5000 0.5000 0.0000 [1 per cell]

[14]
Here is BaLi4Sn2Hg after structural relaxation from Alexandria via LeMat-Bulk. Energies are from PBE.

Output
DOS(E_F) ... 14.11 states/eV/cell
Energy of formation ... -381 meV per atom
Size of the total moment ... 0.000 μB per atom

a b c (Å): 4.8108 4.8108 28.8941
angles (deg): 90.00 90.00 120.00
Space group R-3m (No. 166, hexagonal axes)
Asymmetric unit:
Ba: 0.0000 0.0000 0.0000 [3 per cell]
Li: 0.0000 0.0000 0.1349 [6 per cell]
Li: 0.0000 0.0000 0.4114 [6 per cell]
Sn: 0.0000 0.0000 0.2462 [6 per cell]
Hg: 0.0000 0.0000 0.5000 [3 per cell]

[15]
Here is Ba2LiSn4Hg3 after structural relaxation from Alexandria via LeMat-Bulk. Energies are from PBE.

Output
DOS(E_F) ... 3.88 states/eV/cell
Energy of formation ... -436 meV per atom
Size of the total moment ... 0.000 μB per atom

a b c (Å): 4.8976 4.8976 12.3887
angles (deg): 90.00 90.00 90.00
Space group P-4m2 (No. 115)
Asymmetric unit:
Ba: 0.0000 0.5000 0.2432 [2 per cell]
Li: 0.5000 0.5000 0.0000 [1 per cell]
Sn: 0.0000 0.0000 0.5000 [1 per cell]
Sn: 0.0000 0.5000 0.8727 [2 per cell]
Sn: 0.5000 0.5000 0.5000 [1 per cell]
Hg: 0.0000 0.0000 0.0000 [1 per cell]
Hg: 0.0000 0.5000 0.6446 [2 per cell]

[16]
Here is BaLi2SnHg5 after structural relaxation from Alexandria via LeMat-Bulk. Energies are from PBE.

Output
DOS(E_F) ... 3.66 states/eV/cell
Energy of formation ... -279 meV per atom
Size of the total moment ... 0.000 μB per atom

a b c (Å): 5.3459 5.3459 8.1691
angles (deg): 90.00 90.00 90.00
Space group P4/mmm (No. 123)
Asymmetric unit:
Ba: 0.0000 0.0000 0.0000 [1 per cell]
Li: 0.5000 0.5000 0.3330 [2 per cell]
Sn: 0.0000 0.0000 0.5000 [1 per cell]
Hg: 0.0000 0.5000 0.2843 [4 per cell]
Hg: 0.5000 0.5000 0.0000 [1 per cell]

[17]
Here is BaLi2Sn2Hg2 after structural relaxation from Alexandria via LeMat-Bulk. Energies are from PBE.

Output
DOS(E_F) ... 5.87 states/eV/cell
Energy of formation ... -447 meV per atom
Size of the total moment ... 0.000 μB per atom

a b c (Å): 4.8161 4.8161 27.6715
angles (deg): 90.00 90.00 120.00
Space group R-3m (No. 166, hexagonal axes)
Asymmetric unit:
Ba: 0.0000 0.0000 0.0000 [3 per cell]
Li: 0.0000 0.0000 0.1420 [6 per cell]
Sn: 0.0000 0.0000 0.2500 [6 per cell]
Hg: 0.0000 0.0000 0.4430 [6 per cell]

[18]
Here is Ba2Li3Sn4Hg after structural relaxation from Alexandria via LeMat-Bulk. Energies are from PBE.

Output
DOS(E_F) ... 6.62 states/eV/cell
Energy of formation ... -467 meV per atom
Size of the total moment ... 0.000 μB per atom

a b c (Å): 4.7905 4.7905 11.9952
angles (deg): 90.00 90.00 90.00
Space group P-4m2 (No. 115)
Asymmetric unit:
Ba: 0.0000 0.5000 0.2494 [2 per cell]
Li: 0.0000 0.0000 0.0000 [1 per cell]
Li: 0.0000 0.5000 0.6310 [2 per cell]
Sn: 0.0000 0.0000 0.5000 [1 per cell]
Sn: 0.0000 0.5000 0.8645 [2 per cell]
Sn: 0.5000 0.5000 0.5000 [1 per cell]
Hg: 0.5000 0.5000 0.0000 [1 per cell]

[19]
Here is BaLiSnHg2 after structural relaxation from Alexandria via LeMat-Bulk. Energies are from PBE.

Output
DOS(E_F) ... 3.07 states/eV/cell
Energy of formation ... -340 meV per atom
Size of the total moment ... 0.000 μB per atom

a b c (Å): 5.1787 5.1787 5.3159
angles (deg): 90.00 90.00 90.00
Space group P4/mmm (No. 123)
Asymmetric unit:
Ba: 0.0000 0.0000 0.0000 [1 per cell]
Li: 0.5000 0.5000 0.5000 [1 per cell]
Sn: 0.5000 0.5000 0.0000 [1 per cell]
Hg: 0.0000 0.5000 0.5000 [2 per cell]

[20]
Here is BaSrLi2Hg after structural relaxation from Alexandria via LeMat-Bulk. Energies are from PBE.

Output
DOS(E_F) ... 3.56 states/eV/cell
Offset from the most stable computed form ... 111.9 meV per atom
Energy of formation ... -62 meV per atom
Size of the total moment ... 0.000 μB per atom

a b c (Å): 5.5606 5.5606 6.0769
angles (deg): 90.00 90.00 90.00
Space group P4/mmm (No. 123)
Asymmetric unit:
Ba: 0.0000 0.0000 0.0000 [1 per cell]
Sr: 0.5000 0.5000 0.0000 [1 per cell]
Li: 0.0000 0.5000 0.5000 [2 per cell]
Hg: 0.5000 0.5000 0.5000 [1 per cell]